The following is a PBE-GGA calculation of a relaxed LiLa2Pu crystal, from the Alexandria database.

Cell lengths 3.4372, 3.4372, 36.5328 Å; angles 90.00, 90.00, 120.00 degrees
Space group R-3m (No. 166, hexagonal axes)
Unique sites:
Li  0.0000  0.0000  0.0000 x3
La  0.0000  0.0000  0.4125 x6
Pu  0.0000  0.0000  0.5000 x3

Values from the calculation:
- Fermi-level density of states: 3.15 states/eV per atom
- Total magnetization: 6.1 μB per formula unit
- Formation energy: 124 kJ/mol of formula units
- Energy above the most stable polymorph in this dataset: 0.74 eV per formula unit